Here is crystalline Ac2MgAgAu6 at its relaxed geometry from the Alexandria database. Energies are from PBE.

The crystal system is tetragonal.

The space group is I4/mmm (No. 139) and the conventional cell measures 7.192, 7.192 and 10.191 Å, with angles of 90.00, 90.00 and 90.00 degrees. Symmetry generates all atoms from Ac at (0.000, 0.500, 0.250), Mg at (0.000, 0.000, 0.000), Ag at (0.000, 0.000, 0.500), Au at (0.000, 0.000, 0.244) and Au at (0.244, 0.244, 0.000).


Here is crystalline AcNdAgAu at its relaxed geometry from the Alexandria database. Energies are from PBE.

The crystal system is orthorhombic. The calculation puts the energy above the most stable polymorph in this dataset at 0.0 meV/atom.

The space group is Amm2 (No. 38) and the conventional cell measures 4.925, 4.089 and 11.580 Å, with angles of 90.00, 90.00 and 90.00 degrees. Symmetry generates all atoms from Ac at (0.000, 0.000, 0.000), Nd at (0.500, 0.000, 0.724), Ag at (0.000, 0.000, 0.278) and Au at (0.500, 0.000, 0.440).


Here is crystalline AcNdAgAu at its relaxed geometry from the Alexandria database. Energies are from PBE.

The crystal system is cubic. The calculation puts the energy above the most stable polymorph in this dataset at 32.4 meV/atom.

The space group is F-43m (No. 216) and the conventional cell measures 7.676, 7.676 and 7.676 Å, with angles of 90.00, 90.00 and 90.00 degrees. Symmetry generates all atoms from Ac at (0.000, 0.000, 0.000), Nd at (0.000, 0.000, 0.500), Ag at (0.250, 0.250, 0.250) and Au at (0.250, 0.250, 0.750).


E_form
In order: -290 -521 -489
Unit: meV per atom
Calculated total energy
In order: -3.52 -4.27 -4.24
Unit: eV per atom